This record from Alexandria describes an optimized crystal structure of Ac2TmScBi4. The functional is PBE.

**Final energy**: -41.2 eV/f.u.

Cell: 7.9703 4.6343 8.0191 Å, 90.00 109.60 90.00°
Positions (direct):
Ac1 0.0000 0.0000 0.0000
Ac2 0.0000 0.5000 0.5000
Tm1 0.5000 0.0000 0.5000
Sc1 0.5000 0.5000 0.0000
Bi1 0.2803 0.5000 0.2553
Bi2 0.2838 0.0000 0.7660
Bi3 0.7162 0.0000 0.2340
Bi4 0.7197 0.5000 0.7447